Computed, not measured: crystalline Dy2Y2Th15 at its relaxed geometry at the GGA-PBE level of DFT.

Values from the calculation:
Its calculated volume is 649.9 Å³ per cell. The value obtained for the energy of formation is 0.2949 eV per atom. The crystal system is trigonal. Its space-group type is R-3m, No. 166. The value obtained for the total energy is -127.8 eV for the cell shown.

Lattice parameters (Å, degrees): 8.7587 8.7587 8.7587 81.10 81.10 81.10
Fractional positions:
Dy 0.1856 0.1856 0.1856
Dy 0.8144 0.8144 0.8144
Y 0.4019 0.4019 0.4019
Y 0.5981 0.5981 0.5981
Th 0.0000 0.5000 0.5000
Th 0.1411 0.1411 0.6568
Th 0.1411 0.6567 0.1411
Th 0.1988 0.5000 0.8012
Th 0.1988 0.8012 0.5000
Th 0.3432 0.8589 0.8589
Th 0.5000 0.0000 0.5000
Th 0.5000 0.1988 0.8012
Th 0.5000 0.5000 0.0000
Th 0.5000 0.8012 0.1988
Th 0.6567 0.1411 0.1411
Th 0.8012 0.1988 0.5000
Th 0.8012 0.5000 0.1988
Th 0.8589 0.3432 0.8589
Th 0.8589 0.8589 0.3432

***

Computed, not measured: crystalline CsIn2BiI6 at its relaxed geometry at the GGA-PBE level of DFT.

Values from the calculation:
Its calculated volume is 514.8 Å³ per cell. The crystal system is triclinic. Its space-group type is P1, No. 1. The value obtained for the total energy is -26.2 eV for the cell shown.

Lattice parameters (Å, degrees): 8.6683 8.6794 9.3475 90.03 117.62 119.93
Fractional positions:
Cs 0.0000 0.0000 0.0000
In 0.5907 0.2951 0.8855
In 0.6271 0.8135 0.4402
Bi 0.9662 0.4830 0.4489
I 0.1081 0.4575 0.1989
I 0.1243 0.2648 0.6667
I 0.4015 0.8589 0.6665
I 0.5495 0.0921 0.1989
I 0.7410 0.6494 0.1982
I 0.8075 0.5430 0.6667

***

Computed, not measured: crystalline La8Al2In at its relaxed geometry at the GGA-PBE level of DFT.

Values from the calculation:
Its calculated volume is 351.0 Å³ per cell. The value obtained for the energy of formation is -0.2013 eV per atom. The crystal system is monoclinic. Its space-group type is C2/m, No. 12. The value obtained for the total energy is -51.9 eV for the cell shown.

Lattice parameters (Å, degrees): 9.2309 9.2309 8.8795 118.67 118.67 32.38
Fractional positions:
La 0.9996 0.9996 0.1709
La 0.0004 0.0004 0.8291
La 0.1495 0.1495 0.6481
La 0.3428 0.3428 0.0644
La 0.3432 0.3432 0.6220
La 0.6568 0.6568 0.3780
La 0.6572 0.6572 0.9356
La 0.8505 0.8505 0.3519
Al 0.1952 0.1952 0.1958
Al 0.8048 0.8048 0.8042
In 0.5000 0.5000 0.5000

***

Computed, not measured: crystalline ThMg2Tl2Ag2 at its relaxed geometry at the GGA-PBE level of DFT.

Values from the calculation:
Its calculated volume is 164.0 Å³ per cell. The value obtained for the energy of formation is -0.0943 eV per atom. The crystal system is trigonal. Its space-group type is R-3m, No. 166. The value obtained for the total energy is -21.7 eV for the cell shown.

Lattice parameters (Å, degrees): 8.7883 8.7883 8.7883 31.45 31.45 31.45
Fractional positions:
Th 0.0000 0.0000 0.0000
Mg 0.1386 0.1386 0.1386
Mg 0.8614 0.8614 0.8614
Tl 0.2653 0.2653 0.2653
Tl 0.7347 0.7347 0.7347
Ag 0.4406 0.4406 0.4406
Ag 0.5594 0.5594 0.5594

***

Computed, not measured: crystalline EuDy2Er at its relaxed geometry at the GGA-PBE level of DFT.

Values from the calculation:
Its calculated volume is 132.0 Å³ per cell. The value obtained for the energy of formation is 0.0585 eV per atom. The crystal system is trigonal. Its space-group type is R-3m, No. 166. The value obtained for the total energy is -23.8 eV for the cell shown. The distance to the lowest polymorph of the same formula is 0.1 meV per atom.

Lattice parameters (Å, degrees): 12.0021 12.0021 12.0021 17.20 17.20 17.20
Fractional positions:
Eu 0.0000 0.0000 0.0000
Dy 0.2459 0.2459 0.2459
Dy 0.7541 0.7541 0.7541
Er 0.5000 0.5000 0.5000

***

Computed, not measured: crystalline BaAs2Rh at its relaxed geometry at the GGA-PBE level of DFT.

Values from the calculation:
Its calculated volume is 95.6 Å³ per cell. The value obtained for the energy of formation is -0.6814 eV per atom. The crystal system is trigonal. Its space-group type is R3m, No. 160. The value obtained for the total energy is -21.3 eV for the cell shown.

Lattice parameters (Å, degrees): 6.8230 6.8230 6.8230 35.47 35.47 35.47
Fractional positions:
Ba 0.0000 0.0000 0.0000
As 0.5563 0.5563 0.5563
As 0.7927 0.7927 0.7927
Rh 0.1803 0.1803 0.1803

***

Computed, not measured: crystalline TlSiH2 at its relaxed geometry at the GGA-PBE level of DFT.

Values from the calculation:
Its calculated volume is 119.7 Å³ per cell. The crystal system is tetragonal. Its space-group type is I4_1/amd, No. 141. The value obtained for the total energy is -25.2 eV for the cell shown. The distance to the lowest polymorph of the same formula is 0.0 meV per atom.

Lattice parameters (Å, degrees): 6.0843 6.0843 6.0843 132.62 132.62 69.26
Fractional positions:
Tl 0.3750 0.6250 0.7500
Tl 0.6250 0.3750 0.2500
Si 0.1250 0.8750 0.2500
Si 0.8750 0.1250 0.7500
H 0.0000 0.0000 0.0000
H 0.0000 0.0000 0.5000
H 0.0000 0.5000 0.0000
H 0.5000 0.0000 0.5000

***

Computed, not measured: crystalline Mg2ScTc at its relaxed geometry at the GGA-PBE level of DFT.

Values from the calculation:
Its calculated volume is 160.2 Å³ per cell. The value obtained for the energy of formation is 0.4261 eV per atom. The crystal system is tetragonal. Its space-group type is I-42d, No. 122. The value obtained for the total energy is -36.4 eV for the cell shown. The distance to the lowest polymorph of the same formula is 408.7 meV per atom.

Lattice parameters (Å, degrees): 10.7045 10.7045 10.7045 158.81 158.81 30.15
Fractional positions:
Mg 0.1052 0.6250 0.9802
Mg 0.3750 0.3552 0.4802
Mg 0.6448 0.1250 0.0198
Mg 0.8750 0.8948 0.5198
Sc 0.2500 0.7500 0.5000
Sc 0.5000 0.5000 0.0000
Tc 0.0000 0.0000 0.0000
Tc 0.7500 0.2500 0.5000

***

Computed, not measured: crystalline LiNb4PbN8 at its relaxed geometry at the GGA-PBE level of DFT.

Values from the calculation:
Its calculated volume is 182.9 Å³ per cell. The crystal system is trigonal. Its space-group type is R3m, No. 160. The value obtained for the total energy is -118.7 eV for the cell shown.

Lattice parameters (Å, degrees): 6.4048 6.4048 6.4048 59.32 59.32 59.32
Fractional positions:
Li 0.0000 0.0000 0.0000
Nb 0.0013 0.0013 0.4909
Nb 0.0013 0.4909 0.0013
Nb 0.4909 0.0013 0.0013
Nb 0.6225 0.6225 0.6225
Pb 0.3779 0.3779 0.3779
N 0.2370 0.2370 0.2370
N 0.2437 0.2437 0.8027
N 0.2437 0.8027 0.2437
N 0.2446 0.7413 0.7413
N 0.7413 0.2446 0.7413
N 0.7413 0.7413 0.2446
N 0.7578 0.7578 0.7578
N 0.8027 0.2437 0.2437

***

Computed, not measured: crystalline K2TaHg at its relaxed geometry at the GGA-PBE level of DFT.

Values from the calculation:
Its calculated volume is 111.6 Å³ per cell. The value obtained for the energy of formation is 0.8203 eV per atom. The crystal system is trigonal. Its space-group type is R-3m, No. 166. The value obtained for the total energy is -11.1 eV for the cell shown.

Lattice parameters (Å, degrees): 12.7497 12.7497 12.7497 14.40 14.40 14.40
Fractional positions:
K 0.2500 0.2500 0.2500
K 0.7500 0.7500 0.7500
Ta 0.0000 0.0000 0.0000
Hg 0.5000 0.5000 0.5000

***

Computed, not measured: crystalline Ba3Ge2As4 at its relaxed geometry at the GGA-PBE level of DFT.

Values from the calculation:
Its calculated volume is 573.3 Å³ per cell. The value obtained for the energy of formation is -0.6866 eV per atom. The crystal system is monoclinic. Its space-group type is C2/c, No. 15. The value obtained for the total energy is -79.6 eV for the cell shown. The distance to the lowest polymorph of the same formula is 26.1 meV per atom.

Lattice parameters (Å, degrees): 9.1410 9.1410 6.9876 90.41 90.41 79.09
Fractional positions:
Ba 0.1098 0.8902 0.7500
Ba 0.2433 0.5083 0.4364
Ba 0.4917 0.7567 0.0636
Ba 0.5083 0.2433 0.9364
Ba 0.7567 0.4917 0.5636
Ba 0.8902 0.1098 0.2500
Ge 0.0882 0.3295 0.9302
Ge 0.3295 0.0882 0.4302
Ge 0.6705 0.9118 0.5698
Ge 0.9118 0.6705 0.0698
As 0.0870 0.2377 0.5882
As 0.2231 0.5469 0.9428
As 0.2377 0.0870 0.0882
As 0.4531 0.7769 0.5572
As 0.5469 0.2231 0.4428
As 0.7623 0.9130 0.9118
As 0.7769 0.4531 0.0572
As 0.9130 0.7623 0.4118

***

Computed, not measured: crystalline Ni2PdPt6 at its relaxed geometry at the GGA-PBE level of DFT.

Values from the calculation:
Its calculated volume is 136.8 Å³ per cell. The value obtained for the energy of formation is 0.0370 eV per atom. The crystal system is monoclinic. Its space-group type is C2/m, No. 12. The value obtained for the total energy is -52.7 eV for the cell shown. The distance to the lowest polymorph of the same formula is 77.2 meV per atom.

Lattice parameters (Å, degrees): 5.9773 5.9773 9.3705 112.87 112.87 26.47
Fractional positions:
Ni 0.1363 0.1363 0.2526
Ni 0.8637 0.8637 0.7474
Pd 0.5000 0.5000 0.0000
Pt 0.1678 0.1678 0.5491
Pt 0.2387 0.2387 0.8722
Pt 0.4741 0.4741 0.3151
Pt 0.5259 0.5259 0.6849
Pt 0.7613 0.7613 0.1278
Pt 0.8322 0.8322 0.4509

***

Computed, not measured: crystalline BaBe2HgO at its relaxed geometry at the GGA-PBE level of DFT.

Values from the calculation:
Its calculated volume is 110.2 Å³ per cell. The crystal system is tetragonal. Its space-group type is P4/mmm, No. 123. The value obtained for the total energy is -14.5 eV for the cell shown.

Lattice parameters (Å, degrees): 4.3309 4.3309 5.8726 90.00 90.00 90.00
Fractional positions:
Ba 0.0000 0.0000 0.0000
Be 0.0000 0.5000 0.5000
Be 0.5000 0.0000 0.5000
Hg 0.5000 0.5000 0.5000
O 0.5000 0.5000 0.0000

***

Computed, not measured: crystalline Er3Tm3Sc at its relaxed geometry at the GGA-PBE level of DFT.

Values from the calculation:
Its calculated volume is 416.2 Å³ per cell. The value obtained for the energy of formation is 0.0106 eV per atom. The crystal system is hexagonal. Its space-group type is P6_3/m, No. 176. The value obtained for the total energy is -66.7 eV for the cell shown. The distance to the lowest polymorph of the same formula is 0.0 meV per atom.

Lattice parameters (Å, degrees): 9.3493 9.3493 5.4983 90.00 90.00 120.00
Fractional positions:
Er 0.0508 0.8089 0.2500
Er 0.1911 0.2419 0.2500
Er 0.2419 0.0508 0.7500
Er 0.7581 0.9492 0.2500
Er 0.8089 0.7581 0.7500
Er 0.9492 0.1911 0.7500
Tm 0.0965 0.6181 0.7500
Tm 0.3819 0.4785 0.7500
Tm 0.4785 0.0965 0.2500
Tm 0.5215 0.9035 0.7500
Tm 0.6181 0.5215 0.2500
Tm 0.9035 0.3819 0.2500
Sc 0.3333 0.6667 0.2500
Sc 0.6667 0.3333 0.7500

***

Computed, not measured: crystalline HoInGa at its relaxed geometry at the GGA-PBE level of DFT.

Values from the calculation:
Its calculated volume is 138.4 Å³ per cell. The value obtained for the energy of formation is -0.4142 eV per atom. The crystal system is orthorhombic. Its space-group type is Cmcm, No. 63. The value obtained for the total energy is -23.2 eV for the cell shown. The distance to the lowest polymorph of the same formula is 44.8 meV per atom.

Lattice parameters (Å, degrees): 5.0043 5.0043 6.1692 90.00 90.00 116.36
Fractional positions:
Ho 0.1609 0.8391 0.7500
Ho 0.8391 0.1609 0.2500
In 0.5000 0.5000 0.0000
In 0.5000 0.5000 0.5000
Ga 0.1814 0.8186 0.2500
Ga 0.8186 0.1814 0.7500

***

Computed, not measured: crystalline CdCo2Rh at its relaxed geometry at the GGA-PBE level of DFT.

Values from the calculation:
Its calculated volume is 56.6 Å³ per cell. The value obtained for the energy of formation is 0.1125 eV per atom. The crystal system is tetragonal. Its space-group type is P4mm, No. 99. The value obtained for the total energy is -22.0 eV for the cell shown.

Lattice parameters (Å, degrees): 2.9175 2.9175 6.6532 90.00 90.00 90.00
Fractional positions:
Cd 0.0000 0.0000 0.0000
Co 0.0000 0.0000 0.4693
Co 0.5000 0.5000 0.2869
Rh 0.5000 0.5000 0.7016

***

Computed, not measured: crystalline B5C7 at its relaxed geometry at the GGA-PBE level of DFT.

Values from the calculation:
Its calculated volume is 79.3 Å³ per cell. The value obtained for the energy of formation is 0.4097 eV per atom. The crystal system is triclinic. Its space-group type is P1, No. 1. The value obtained for the total energy is -93.0 eV for the cell shown. The distance to the lowest polymorph of the same formula is 151.8 meV per atom.

Lattice parameters (Å, degrees): 3.6514 3.8404 5.9697 108.37 92.92 90.24
Fractional positions:
B 0.0000 0.0000 0.0000
B 0.0231 0.7609 0.3157
B 0.2767 0.3986 0.1571
B 0.4516 0.1309 0.3124
B 0.6875 0.5225 0.5225
C 0.2277 0.0445 0.5274
C 0.2487 0.6850 0.8257
C 0.4846 0.8787 0.6749
C 0.5038 0.5238 0.9807
C 0.7275 0.8427 0.1457
C 0.7479 0.2084 0.8341
C 0.9896 0.3616 0.6697

***

Computed, not measured: crystalline BaSrPb2 at its relaxed geometry at the GGA-PBE level of DFT.

Values from the calculation:
Its calculated volume is 161.3 Å³ per cell. The value obtained for the energy of formation is -0.3269 eV per atom. The crystal system is trigonal. Its space-group type is R-3m, No. 166. The value obtained for the total energy is -12.3 eV for the cell shown.

Lattice parameters (Å, degrees): 10.9248 10.9248 10.9248 22.06 22.06 22.06
Fractional positions:
Ba 0.0000 0.0000 0.0000
Sr 0.5000 0.5000 0.5000
Pb 0.2474 0.2474 0.2474
Pb 0.7526 0.7526 0.7526

***

Computed, not measured: crystalline BeAlPO2 at its relaxed geometry at the GGA-PBE level of DFT.

Values from the calculation:
Its calculated volume is 57.3 Å³ per cell. The crystal system is tetragonal. Its space-group type is P4/mmm, No. 123. The value obtained for the total energy is -25.2 eV for the cell shown. The distance to the lowest polymorph of the same formula is 189.2 meV per atom.

Lattice parameters (Å, degrees): 3.4121 3.4121 4.9209 90.00 90.00 90.00
Fractional positions:
Be 0.0000 0.0000 0.0000
Al 0.5000 0.5000 0.5000
P 0.0000 0.0000 0.5000
O 0.0000 0.5000 0.0000
O 0.5000 0.0000 0.0000